This record from Alexandria via LeMat-Bulk describes an optimized crystal structure of Cs2VPbF6. The functional is PBE with a Hubbard U.

Cell: 6.522 6.518 6.515 Å, 60.03 60.01 89.99°
Sites, in units of the cell vectors:
Cs 0.750 0.250 0.500
Cs 0.250 0.750 0.500
F 0.768 0.768 0.999
F 0.233 0.233 0.535
F 0.767 0.233 0.000
F 0.767 0.767 0.465
F 0.233 0.767 0.000
F 0.232 0.232 0.001
V 0.000 0.000 0.000
Pb 0.500 0.500 0.000

Summary:
Calculated volume (Å³/atom): 19.60
Electronic total energy (eV per atom): -5.05